(1)
Ca2MnZn2Pd5: optimized geometry, PBE.

a = 3.640 Å, b = 9.895 Å, c = 9.895 Å
α = 90.00°, β = 90.00°, γ = 90.00°
Sites, in units of the cell vectors:
Ca (0.000, 0.674, 0.174)
Ca (0.000, 0.326, 0.826)
Ca (0.000, 0.174, 0.326)
Ca (0.000, 0.826, 0.674)
Mn (0.000, 0.000, 0.000)
Mn (0.000, 0.500, 0.500)
Zn (0.000, 0.126, 0.626)
Zn (0.000, 0.874, 0.374)
Zn (0.000, 0.626, 0.874)
Zn (0.000, 0.374, 0.126)
Pd (0.500, 0.200, 0.063)
Pd (0.500, 0.800, 0.937)
Pd (0.500, 0.063, 0.800)
Pd (0.500, 0.700, 0.437)
Pd (0.500, 0.937, 0.200)
Pd (0.500, 0.300, 0.563)
Pd (0.500, 0.563, 0.700)
Pd (0.500, 0.437, 0.300)
Pd (0.500, 0.500, 0.000)
Pd (0.500, 0.000, 0.500)

Crystal system: tetragonal
Fermi-level density of states, states/eV per atom: 0.419
Final energy, eV per formula unit: -46.91
SG: P4/mbm (127)

=====

(2)
CaPm3Mn: optimized geometry, PBE.

a = 5.462 Å, b = 5.462 Å, c = 5.462 Å
α = 90.00°, β = 90.00°, γ = 90.00°
Sites, in units of the cell vectors:
Ca (0.500, 0.500, 0.500)
Mn (0.000, 0.000, 0.000)
Pm (0.000, 0.500, 0.000)
Pm (0.000, 0.000, 0.500)
Pm (0.500, 0.000, 0.000)

Crystal system: cubic
Fermi-level density of states, states/eV per atom: 1.095
Final energy, eV per formula unit: -24.41
SG: Pm-3m (221)

=====

(3)
Ca3Pm3MnS8: optimized geometry, PBE.

a = 7.982 Å, b = 7.982 Å, c = 8.041 Å
α = 119.76°, β = 90.00°, γ = 120.00°
Sites, in units of the cell vectors:
Ca (0.000, 0.000, 0.000)
Ca (0.000, 0.500, 0.000)
Ca (0.500, 0.500, 0.000)
Pm (0.500, 0.000, 0.500)
Pm (0.500, 0.500, 0.500)
Pm (0.000, 0.500, 0.500)
Mn (0.000, 0.000, 0.500)
S (0.249, 0.499, 0.248)
S (0.751, 0.501, 0.752)
S (0.764, 0.527, 0.266)
S (0.236, 0.473, 0.734)
S (0.764, 0.002, 0.266)
S (0.236, 0.998, 0.734)
S (0.238, 0.002, 0.266)
S (0.762, 0.998, 0.734)

Crystal system: trigonal
Fermi-level density of states, states/eV per atom: 0.242
Final energy, eV per formula unit: -90.19
Formation energy without anion corrections, eV per atom: -1.85
SG: R-3m (166)